Entry from Alexandria via LeMat-Bulk: a relaxed structure of Si2B (GGA-PBE).

abc: 5.0523 3.2990 11.5916
angles: 90.00 112.38 90.00
With the nearest neighbours (Å) after each atom.
Fractional coordinates of all 12 atoms:
Si  0.0921  0.0000  0.9173  2 B 2.04
Si  0.9079  0.0000  0.0827  2 B 2.04
Si  0.0921  0.5000  0.4173  2 B 2.04
Si  0.9079  0.5000  0.5827  2 B 2.04
Si  0.3355  0.0000  0.2636  1 B 2.02
Si  0.6645  0.0000  0.7364  1 B 2.02
Si  0.3355  0.5000  0.7636  1 B 2.02
Si  0.6645  0.5000  0.2364  1 B 2.02
B  0.6559  0.0000  0.5610  1 B 1.67
B  0.3441  0.0000  0.4390  1 B 1.67
B  0.6559  0.5000  0.0610  1 B 1.67
B  0.3441  0.5000  0.9390  1 B 1.67

Results
Symmetry   C2/m
Relative energy among the computed polymorphs   0.057 eV/atom
Density of states at the Fermi level   3.1 states/eV per cell
Size of the total moment   0.00 μB per atom
Uncorrected formation energy   0.241 eV/atom